1.
Below is a geometry-optimized Tb5CdHg2 structure, with properties calculated at the GGA-PBE level.

a b c (Å): 8.399 8.399 8.728
angles (deg): 118.76 118.76 90.00
Positions (direct):
1 Tb 0.498 0.303 0.301
2 Tb 0.697 0.197 0.699
3 Tb 0.000 0.000 0.000
4 Tb 0.803 0.998 0.301
5 Tb 0.197 0.002 0.699
6 Tb 0.303 0.803 0.301
7 Tb 0.502 0.697 0.699
8 Tb 0.002 0.502 0.699
9 Tb 0.998 0.498 0.301
10 Tb 0.500 0.500 0.000
11 Hg 0.859 0.641 0.000
12 Hg 0.359 0.859 0.000
13 Hg 0.641 0.141 0.000
14 Hg 0.141 0.359 0.000
15 Cd 0.250 0.250 0.500
16 Cd 0.750 0.750 0.500

## Properties
Its density of states at the Fermi level is 0.908 states/eV/atom. Its formation energy is -0.293 eV/atom. As for the final energy: -3.38 eV/atom.



2.
Below is a geometry-optimized TbCd3Hg3 structure, with properties calculated at the GGA-PBE level.

a b c (Å): 6.497 6.497 10.542
angles (deg): 72.05 72.05 60.00
Positions (direct):
1 Hg 0.790 0.789 0.152
2 Hg 0.731 0.210 0.848
3 Hg 0.269 0.790 0.152
4 Hg 0.789 0.269 0.152
5 Hg 0.210 0.211 0.848
6 Hg 0.211 0.731 0.848
7 Cd 0.637 0.110 0.612
8 Cd 0.890 0.359 0.388
9 Cd 0.363 0.890 0.388
10 Cd 0.641 0.637 0.612
11 Cd 0.359 0.363 0.388
12 Cd 0.110 0.641 0.612
13 Tb 0.299 0.299 0.102
14 Tb 0.701 0.701 0.898

## Properties
Its excess energy over the best structure of this formula in the dataset is 0.0 meV per atom. Its density of states at the Fermi level is 0.610 states/eV/atom. Its formation energy is -0.146 eV/atom. As for the final energy: -1.33 eV/atom.



3.
Below is a geometry-optimized TbCd3Hg3 structure, with properties calculated at the GGA-PBE level.

a b c (Å): 7.753 7.753 7.753
angles (deg): 90.00 90.00 90.00
Positions (direct):
1 Hg 0.000 0.750 0.500
2 Hg 0.500 0.000 0.250
3 Hg 0.750 0.500 0.000
4 Hg 0.500 0.000 0.750
5 Hg 0.250 0.500 0.000
6 Hg 0.000 0.250 0.500
7 Tb 0.000 0.000 0.000
8 Tb 0.500 0.500 0.500
9 Cd 0.500 0.750 0.000
10 Cd 0.750 0.000 0.500
11 Cd 0.000 0.500 0.250
12 Cd 0.500 0.250 0.000
13 Cd 0.250 0.000 0.500
14 Cd 0.000 0.500 0.750

## Properties
Its excess energy over the best structure of this formula in the dataset is 569.1 meV per atom. Its density of states at the Fermi level is 0.917 states/eV/atom. Its formation energy is 0.423 eV/atom. As for the final energy: -0.76 eV/atom.



4.
Below is a geometry-optimized Tb3CdHg5 structure, with properties calculated at the GGA-PBE level.

a b c (Å): 6.303 9.011 9.010
angles (deg): 120.00 90.00 90.00
Positions (direct):
1 Cd 0.000 0.000 0.000
2 Cd 0.500 0.000 0.000
3 Hg 0.250 0.683 0.000
4 Hg 0.250 0.000 0.683
5 Hg 0.500 0.333 0.667
6 Hg 0.000 0.333 0.667
7 Hg 0.500 0.667 0.333
8 Hg 0.000 0.667 0.333
9 Hg 0.750 0.683 0.683
10 Hg 0.750 0.000 0.317
11 Hg 0.250 0.317 0.317
12 Hg 0.750 0.317 0.000
13 Tb 0.750 0.000 0.653
14 Tb 0.750 0.347 0.347
15 Tb 0.750 0.653 0.000
16 Tb 0.250 0.653 0.653
17 Tb 0.250 0.347 0.000
18 Tb 0.250 0.000 0.347

## Properties
Its density of states at the Fermi level is 0.646 states/eV/atom. Its formation energy is -0.418 eV/atom. As for the final energy: -2.23 eV/atom.



5.
Below is a geometry-optimized TbCd4Hg structure, with properties calculated at the GGA-PBE level.

a b c (Å): 5.015 5.093 6.475
angles (deg): 96.51 90.53 119.35
Positions (direct):
1 Hg 0.004 0.499 0.498
2 Cd 0.646 0.787 0.749
3 Cd 0.362 0.212 0.247
4 Cd 0.692 0.869 0.244
5 Cd 0.316 0.129 0.753
6 Tb 0.004 0.499 0.998

## Properties
Its excess energy over the best structure of this formula in the dataset is 0.0 meV per atom. Its density of states at the Fermi level is 0.371 states/eV/atom. Its formation energy is -0.199 eV/atom. As for the final energy: -1.63 eV/atom.



6.
Below is a geometry-optimized TbCd2Hg structure, with properties calculated at the GGA-PBE level.

a b c (Å): 5.097 5.097 5.097
angles (deg): 60.00 60.00 60.00
Positions (direct):
1 Tb 0.000 0.000 0.000
2 Hg 0.500 0.500 0.500
3 Cd 0.750 0.750 0.750
4 Cd 0.250 0.250 0.250

## Properties
Its excess energy over the best structure of this formula in the dataset is 101.9 meV per atom. Its density of states at the Fermi level is 0.793 states/eV/atom. Its formation energy is -0.218 eV/atom. As for the final energy: -1.91 eV/atom.



7.
Below is a geometry-optimized TbCd5Hg6 structure, with properties calculated at the GGA-PBE level.

a b c (Å): 9.954 4.607 7.437
angles (deg): 71.95 81.45 61.31
Positions (direct):
1 Hg 0.252 0.914 0.668
2 Hg 0.744 0.759 0.000
3 Hg 0.748 0.418 0.668
4 Hg 0.256 0.241 0.000
5 Hg 0.252 0.582 0.332
6 Hg 0.748 0.086 0.332
7 Tb 0.000 0.000 0.000
8 Cd 0.500 0.829 0.341
9 Cd 0.500 0.171 0.659
10 Cd 0.000 0.671 0.658
11 Cd 0.500 0.500 0.000
12 Cd 0.000 0.329 0.342

## Properties
Its density of states at the Fermi level is 0.304 states/eV/atom. Its formation energy is -0.104 eV/atom. As for the final energy: -1.02 eV/atom.



8.
Below is a geometry-optimized TbCd12Hg6 structure, with properties calculated at the GGA-PBE level.

a b c (Å): 7.991 7.991 7.991
angles (deg): 103.38 103.38 103.38
Positions (direct):
1 Hg 0.162 0.421 0.167
2 Hg 0.421 0.167 0.162
3 Hg 0.833 0.838 0.579
4 Hg 0.838 0.579 0.833
5 Hg 0.167 0.162 0.421
6 Hg 0.579 0.833 0.838
7 Cd 0.590 0.191 0.584
8 Cd 0.003 0.265 0.736
9 Cd 0.410 0.809 0.416
10 Cd 0.735 0.264 0.997
11 Cd 0.736 0.003 0.265
12 Cd 0.584 0.590 0.191
13 Cd 0.997 0.735 0.264
14 Cd 0.191 0.584 0.590
15 Cd 0.416 0.410 0.809
16 Cd 0.264 0.997 0.735
17 Cd 0.265 0.736 0.003
18 Cd 0.809 0.416 0.410
19 Tb 0.000 0.000 0.000

## Properties
Its excess energy over the best structure of this formula in the dataset is 0.0 meV per atom. Its density of states at the Fermi level is 0.238 states/eV/atom. Its formation energy is -0.048 eV/atom. As for the final energy: -0.97 eV/atom.



9.
Below is a geometry-optimized Tb4CdHg2 structure, with properties calculated at the GGA-PBE level.

a b c (Å): 5.105 5.105 9.877
angles (deg): 75.02 75.02 60.00
Positions (direct):
1 Tb 0.622 0.622 0.133
2 Tb 0.207 0.207 0.378
3 Tb 0.378 0.378 0.867
4 Tb 0.793 0.793 0.622
5 Cd 0.000 0.000 0.000
6 Hg 0.101 0.101 0.698
7 Hg 0.899 0.899 0.302

## Properties
Its excess energy over the best structure of this formula in the dataset is 153.4 meV per atom. Its density of states at the Fermi level is 1.791 states/eV/atom. Its formation energy is -0.117 eV/atom. As for the final energy: -2.98 eV/atom.



10.
Below is a geometry-optimized Tb5Cd2Hg12 structure, with properties calculated at the GGA-PBE level.

a b c (Å): 7.884 8.792 7.734
angles (deg): 90.21 90.00 116.64
Positions (direct):
1 Cd 0.228 0.000 0.000
2 Cd 0.772 0.000 0.000
3 Hg 0.971 0.337 0.238
4 Hg 0.455 0.910 0.742
5 Hg 0.136 0.272 0.894
6 Hg 0.029 0.663 0.762
7 Hg 0.366 0.337 0.238
8 Hg 0.588 0.777 0.378
9 Hg 0.545 0.090 0.258
10 Hg 0.634 0.663 0.762
11 Hg 0.412 0.223 0.622
12 Hg 0.864 0.728 0.106
13 Hg 0.811 0.223 0.622
14 Hg 0.189 0.777 0.378
15 Tb 0.244 0.488 0.570
16 Tb 0.678 0.356 0.948
17 Tb 0.000 0.000 0.500
18 Tb 0.322 0.644 0.052
19 Tb 0.756 0.512 0.430

## Properties
Its density of states at the Fermi level is 0.506 states/eV/atom. Its formation energy is -0.275 eV/atom. As for the final energy: -1.78 eV/atom.



11.
Below is a geometry-optimized Tb6Cd2Hg structure, with properties calculated at the GGA-PBE level.

a b c (Å): 5.135 7.286 8.913
angles (deg): 114.13 106.73 90.00
Positions (direct):
1 Tb 0.500 0.753 0.000
2 Tb 0.835 0.082 0.668
3 Tb 0.165 0.414 0.332
4 Tb 0.165 0.918 0.332
5 Tb 0.500 0.247 0.000
6 Tb 0.835 0.586 0.668
7 Hg 0.000 0.000 0.000
8 Cd 0.334 0.334 0.667
9 Cd 0.666 0.666 0.333

## Properties
Its excess energy over the best structure of this formula in the dataset is 252.4 meV per atom. Its density of states at the Fermi level is 1.441 states/eV/atom. Its formation energy is 0.026 eV/atom. As for the final energy: -3.30 eV/atom.



12.
Below is a geometry-optimized Tb2Cd5Hg structure, with properties calculated at the GGA-PBE level.

a b c (Å): 4.756 4.756 11.361
angles (deg): 77.92 77.92 60.00
Positions (direct):
1 Cd 0.804 0.804 0.588
2 Cd 0.500 0.500 0.500
3 Cd 0.626 0.626 0.122
4 Cd 0.196 0.196 0.412
5 Cd 0.374 0.374 0.878
6 Tb 0.905 0.905 0.285
7 Tb 0.095 0.095 0.715
8 Hg 0.000 0.000 0.000

## Properties
Its excess energy over the best structure of this formula in the dataset is 175.7 meV per atom. Its density of states at the Fermi level is 0.745 states/eV/atom. Its formation energy is -0.090 eV/atom. As for the final energy: -1.86 eV/atom.



13.
Below is a geometry-optimized TbCdHg3 structure, with properties calculated at the GGA-PBE level.

a b c (Å): 5.086 5.111 9.512
angles (deg): 90.00 74.50 90.00
Positions (direct):
1 Hg 0.871 0.750 0.906
2 Hg 0.272 0.750 0.104
3 Hg 0.777 0.250 0.094
4 Hg 0.073 0.750 0.503
5 Hg 0.376 0.250 0.896
6 Hg 0.575 0.250 0.497
7 Tb 0.975 0.250 0.698
8 Tb 0.673 0.750 0.302
9 Cd 0.476 0.750 0.696
10 Cd 0.172 0.250 0.304

## Properties
Its excess energy over the best structure of this formula in the dataset is 0.0 meV per atom. Its density of states at the Fermi level is 0.212 states/eV/atom. Its formation energy is -0.279 eV/atom. As for the final energy: -1.57 eV/atom.



14.
Below is a geometry-optimized Tb2Cd2Hg7 structure, with properties calculated at the GGA-PBE level.

a b c (Å): 6.410 8.362 6.410
angles (deg): 90.00 113.73 90.00
Positions (direct):
1 Hg 0.500 0.810 0.500
2 Hg 0.500 0.695 0.000
3 Hg 0.000 0.000 0.000
4 Hg 0.500 0.305 0.000
5 Hg 0.000 0.695 0.500
6 Hg 0.500 0.190 0.500
7 Hg 0.000 0.305 0.500
8 Tb 0.253 0.500 0.253
9 Tb 0.747 0.500 0.747
10 Cd 0.263 0.000 0.737
11 Cd 0.737 0.000 0.263

## Properties
Its density of states at the Fermi level is 0.648 states/eV/atom. Its formation energy is 0.008 eV/atom. As for the final energy: -1.19 eV/atom.



15.
Below is a geometry-optimized Tb4CdHg structure, with properties calculated at the GGA-PBE level.

a b c (Å): 3.615 3.615 13.014
angles (deg): 90.00 90.00 90.00
Positions (direct):
1 Tb 0.500 0.500 0.158
2 Tb 0.000 0.000 0.654
3 Tb 0.000 0.000 0.346
4 Tb 0.500 0.500 0.842
5 Hg 0.500 0.500 0.500
6 Cd 0.000 0.000 0.000

## Properties
Its excess energy over the best structure of this formula in the dataset is 0.0 meV per atom. Its density of states at the Fermi level is 1.260 states/eV/atom. Its formation energy is -0.248 eV/atom. As for the final energy: -3.54 eV/atom.



16.
Below is a geometry-optimized Tb4Cd3Hg structure, with properties calculated at the GGA-PBE level.

a b c (Å): 3.636 4.907 12.035
angles (deg): 90.00 90.00 90.00
Positions (direct):
1 Tb 0.500 0.500 0.340
2 Tb 0.500 0.000 0.659
3 Tb 0.000 0.500 0.844
4 Tb 0.000 0.000 0.156
5 Hg 0.500 0.500 0.077
6 Cd 0.500 0.000 0.925
7 Cd 0.000 0.000 0.426
8 Cd 0.000 0.500 0.573

## Properties
Its excess energy over the best structure of this formula in the dataset is 52.7 meV per atom. Its density of states at the Fermi level is 1.051 states/eV/atom. Its formation energy is -0.305 eV/atom. As for the final energy: -3.00 eV/atom.



17.
Below is a geometry-optimized Tb2Cd5Hg structure, with properties calculated at the GGA-PBE level.

a b c (Å): 4.488 6.596 13.178
angles (deg): 90.00 90.00 90.00
Positions (direct):
1 Cd 0.500 0.266 0.371
2 Cd 0.500 0.734 0.629
3 Cd 0.000 0.514 0.253
4 Cd 0.500 0.234 0.871
5 Cd 0.000 0.014 0.247
6 Cd 0.000 0.000 0.000
7 Cd 0.000 0.500 0.500
8 Cd 0.000 0.986 0.753
9 Cd 0.000 0.486 0.747
10 Cd 0.500 0.766 0.129
11 Tb 0.500 0.734 0.879
12 Tb 0.500 0.266 0.121
13 Tb 0.500 0.766 0.379
14 Tb 0.500 0.234 0.621
15 Hg 0.000 0.500 0.000
16 Hg 0.000 0.000 0.500

## Properties
Its excess energy over the best structure of this formula in the dataset is 0.0 meV per atom. Its density of states at the Fermi level is 0.860 states/eV/atom. Its formation energy is -0.266 eV/atom. As for the final energy: -2.03 eV/atom.



18.
Below is a geometry-optimized Tb4Cd2Hg structure, with properties calculated at the GGA-PBE level.

a b c (Å): 5.707 5.707 7.783
angles (deg): 111.51 111.51 90.00
Positions (direct):
1 Tb 0.500 0.000 0.000
2 Tb 0.000 0.500 0.000
3 Tb 0.750 0.250 0.500
4 Tb 0.250 0.750 0.500
5 Cd 0.626 0.626 0.251
6 Cd 0.374 0.374 0.749
7 Hg 0.000 0.000 0.000

## Properties
Its excess energy over the best structure of this formula in the dataset is 252.8 meV per atom. Its density of states at the Fermi level is 1.412 states/eV/atom. Its formation energy is 0.064 eV/atom. As for the final energy: -2.89 eV/atom.



19.
Below is a geometry-optimized Tb2Cd3Hg structure, with properties calculated at the GGA-PBE level.

a b c (Å): 6.040 6.040 9.955
angles (deg): 114.20 114.20 69.42
Positions (direct):
1 Hg 0.667 0.667 0.334
2 Hg 0.333 0.333 0.666
3 Cd 0.834 0.834 0.166
4 Cd 0.332 0.332 0.166
5 Cd 0.834 0.834 0.668
6 Cd 0.166 0.166 0.332
7 Cd 0.166 0.166 0.834
8 Cd 0.668 0.668 0.834
9 Tb 0.252 0.748 0.000
10 Tb 0.250 0.750 0.500
11 Tb 0.748 0.252 0.000
12 Tb 0.750 0.250 0.500

## Properties
Its density of states at the Fermi level is 0.631 states/eV/atom. Its formation energy is -0.351 eV/atom. As for the final energy: -2.40 eV/atom.



20.
Below is a geometry-optimized Tb2CdHg structure, with properties calculated at the GGA-PBE level.

a b c (Å): 3.778 5.273 5.273
angles (deg): 90.00 90.00 90.00
Positions (direct):
1 Tb 0.000 0.000 0.500
2 Tb 0.000 0.500 0.000
3 Cd 0.500 0.000 0.000
4 Hg 0.500 0.500 0.500

## Properties
Its density of states at the Fermi level is 1.112 states/eV/atom. Its formation energy is -0.398 eV/atom. As for the final energy: -3.02 eV/atom.



21.
Below is a geometry-optimized TbCd12Hg6 structure, with properties calculated at the GGA-PBE level.

a b c (Å): 7.799 7.799 7.799
angles (deg): 91.15 91.15 91.15
Positions (direct):
1 Hg 0.780 0.780 0.235
2 Hg 0.220 0.765 0.220
3 Hg 0.220 0.220 0.765
4 Hg 0.235 0.780 0.780
5 Hg 0.765 0.220 0.220
6 Hg 0.780 0.235 0.780
7 Cd 0.499 0.498 0.803
8 Cd 0.502 0.197 0.501
9 Cd 0.114 0.114 0.400
10 Cd 0.197 0.501 0.502
11 Cd 0.600 0.886 0.886
12 Cd 0.400 0.114 0.114
13 Cd 0.498 0.803 0.499
14 Cd 0.803 0.499 0.498
15 Cd 0.886 0.600 0.886
16 Cd 0.886 0.886 0.600
17 Cd 0.114 0.400 0.114
18 Cd 0.501 0.502 0.197
19 Tb 0.000 0.000 0.000

## Properties
Its excess energy over the best structure of this formula in the dataset is 14.4 meV per atom. Its density of states at the Fermi level is 0.373 states/eV/atom. Its formation energy is -0.034 eV/atom. As for the final energy: -0.95 eV/atom.